Material: IrPdRu3
Method: DFT, PBE-GGA
State: relaxed

abc: 4.669 4.669 4.669
angles: 90.00 90.00 90.00
Site moments in Bohr magnetons follow the coordinates.
Fractional positions:
Ru  0.000  0.500  0.000  0.86
Ru  0.000  0.000  0.500  0.86
Ru  0.500  0.000  0.000  0.89
Ir  0.000  0.000  0.000  -0.04
Pd  0.500  0.500  0.500  0.26

Values from the calculation:
Energy above the most stable polymorph in this dataset: 0.000 eV/atom
Total magnetic moment: 2.86 Bohr magnetons per cell
VASP energy: -6.60 eV/atom
ΔH_f (0 K): 1.780 eV/atom
N(E_F): 1.311 states/eV/atom
SG: No. 221

=====

Material: IrPdRu
Method: DFT, PBE-GGA
State: relaxed

abc: 2.738 2.738 13.458
angles: 90.00 90.00 120.00
Fractional positions:
Ir  0.000  0.000  0.315
Ir  0.333  0.667  0.834
Pd  0.667  0.333  0.662
Pd  0.333  0.667  0.486
Ru  0.667  0.333  0.156
Ru  0.000  0.000  0.996

Values from the calculation:
Energy above the most stable polymorph in this dataset: 0.000 eV/atom
Total magnetic moment: 0.00 Bohr magnetons per cell
VASP energy: -7.76 eV/atom
ΔH_f (0 K): 0.015 eV/atom
N(E_F): 1.257 states/eV/atom
SG: No. 156

=====

Material: IrPdRu
Method: DFT, PBE-GGA
State: relaxed

abc: 2.730 2.730 6.770
angles: 90.00 90.00 120.00
Fractional positions:
Ru  0.667  0.333  0.341
Ir  0.333  0.667  0.656
Pd  0.000  0.000  0.003

Values from the calculation:
Energy above the most stable polymorph in this dataset: 0.051 eV/atom
Total magnetic moment: 0.00 Bohr magnetons per cell
VASP energy: -7.71 eV/atom
ΔH_f (0 K): 0.066 eV/atom
N(E_F): 1.190 states/eV/atom
SG: No. 156

=====

Material: Y2IrPdRu
Method: DFT, PBE-GGA
State: relaxed

abc: 5.319 4.623 5.319
angles: 90.00 90.00 90.00
Fractional positions:
Y  0.000  0.000  0.500
Y  0.500  0.000  0.000
Ru  0.000  0.500  0.000
Ir  0.000  0.000  0.000
Pd  0.500  0.500  0.500

Values from the calculation:
Total magnetic moment: 0.00 Bohr magnetons per cell
VASP energy: -7.05 eV/atom
ΔH_f (0 K): 0.198 eV/atom
N(E_F): 0.887 states/eV/atom
SG: No. 123

=====

Material: Ir3Pd5S12
Method: DFT, PBE-GGA
State: relaxed

abc: 12.574 12.574 12.574
angles: 109.47 109.47 109.47
Fractional positions:
Ir  0.750  0.375  0.125
Ir  0.875  0.750  0.125
Ir  0.375  0.750  0.625
Ir  0.250  0.125  0.375
Ir  0.875  0.125  0.250
Ir  0.375  0.625  0.250
Ir  0.625  0.375  0.750
Ir  0.125  0.875  0.750
Ir  0.750  0.875  0.625
Ir  0.625  0.250  0.375
Ir  0.125  0.250  0.875
Ir  0.250  0.625  0.875
Pd  0.125  0.375  0.250
Pd  0.000  0.500  0.000
Pd  0.000  0.000  0.000
Pd  0.375  0.250  0.125
Pd  0.500  0.000  0.500
Pd  0.500  0.500  0.000
Pd  0.125  0.750  0.375
Pd  0.750  0.125  0.875
Pd  0.750  0.625  0.375
Pd  0.375  0.125  0.750
Pd  0.625  0.875  0.250
Pd  0.500  0.500  0.500
Pd  0.500  0.000  0.000
Pd  0.000  0.000  0.500
Pd  0.250  0.375  0.625
Pd  0.250  0.875  0.125
Pd  0.000  0.500  0.500
Pd  0.875  0.250  0.625
Pd  0.625  0.750  0.875
Pd  0.875  0.625  0.750
S  0.712  0.157  0.046
S  0.334  0.546  0.390
S  0.954  0.343  0.288
S  0.546  0.212  0.157
S  0.556  0.712  0.666
S  0.954  0.610  0.166
S  0.334  0.788  0.444
S  0.110  0.944  0.157
S  0.610  0.954  0.666
S  0.712  0.556  0.166
S  0.788  0.454  0.343
S  0.834  0.890  0.046
S  0.157  0.712  0.546
S  0.343  0.390  0.056
S  0.056  0.890  0.343
S  0.444  0.157  0.610
S  0.056  0.166  0.212
S  0.454  0.666  0.110
S  0.834  0.944  0.288
S  0.157  0.444  0.110
S  0.343  0.954  0.788
S  0.610  0.657  0.444
S  0.890  0.834  0.546
S  0.788  0.334  0.944
S  0.390  0.343  0.556
S  0.110  0.166  0.454
S  0.212  0.666  0.056
S  0.166  0.056  0.712
S  0.657  0.046  0.212
S  0.843  0.556  0.890
S  0.546  0.334  0.890
S  0.556  0.843  0.390
S  0.944  0.834  0.788
S  0.944  0.110  0.657
S  0.843  0.288  0.454
S  0.166  0.110  0.954
S  0.657  0.610  0.944
S  0.390  0.046  0.334
S  0.288  0.444  0.834
S  0.212  0.546  0.657
S  0.890  0.056  0.843
S  0.666  0.212  0.556
S  0.454  0.788  0.843
S  0.046  0.390  0.834
S  0.444  0.288  0.334
S  0.046  0.657  0.712
S  0.666  0.454  0.610
S  0.288  0.843  0.954

Values from the calculation:
Total magnetic moment: 0.00 Bohr magnetons per cell
VASP energy: -4.99 eV/atom
N(E_F): 0.542 states/eV/atom
SG: No. 230

=====

Material: Ir5Pd3S12
Method: DFT, PBE-GGA
State: relaxed

abc: 12.347 12.347 12.347
angles: 109.47 109.47 109.47
Fractional positions:
Pd  0.750  0.375  0.125
Pd  0.875  0.750  0.125
Pd  0.375  0.750  0.625
Pd  0.250  0.125  0.375
Pd  0.875  0.125  0.250
Pd  0.375  0.625  0.250
Pd  0.625  0.375  0.750
Pd  0.125  0.875  0.750
Pd  0.750  0.875  0.625
Pd  0.625  0.250  0.375
Pd  0.125  0.250  0.875
Pd  0.250  0.625  0.875
Ir  0.125  0.375  0.250
Ir  0.000  0.500  0.000
Ir  0.000  0.000  0.000
Ir  0.375  0.250  0.125
Ir  0.500  0.000  0.500
Ir  0.500  0.500  0.000
Ir  0.125  0.750  0.375
Ir  0.750  0.125  0.875
Ir  0.750  0.625  0.375
Ir  0.375  0.125  0.750
Ir  0.625  0.875  0.250
Ir  0.500  0.500  0.500
Ir  0.500  0.000  0.000
Ir  0.000  0.000  0.500
Ir  0.250  0.375  0.625
Ir  0.250  0.875  0.125
Ir  0.000  0.500  0.500
Ir  0.875  0.250  0.625
Ir  0.625  0.750  0.875
Ir  0.875  0.625  0.750
S  0.717  0.110  0.038
S  0.321  0.538  0.428
S  0.962  0.390  0.283
S  0.538  0.217  0.110
S  0.608  0.717  0.679
S  0.962  0.572  0.179
S  0.321  0.783  0.392
S  0.072  0.892  0.110
S  0.572  0.962  0.679
S  0.717  0.608  0.179
S  0.783  0.462  0.390
S  0.821  0.928  0.038
S  0.110  0.717  0.538
S  0.390  0.428  0.108
S  0.108  0.928  0.390
S  0.392  0.110  0.572
S  0.108  0.179  0.217
S  0.462  0.679  0.072
S  0.821  0.892  0.283
S  0.110  0.392  0.072
S  0.390  0.962  0.783
S  0.572  0.610  0.392
S  0.928  0.821  0.538
S  0.783  0.321  0.892
S  0.428  0.390  0.608
S  0.072  0.179  0.462
S  0.217  0.679  0.108
S  0.179  0.108  0.717
S  0.610  0.038  0.217
S  0.890  0.608  0.928
S  0.538  0.321  0.928
S  0.608  0.890  0.428
S  0.892  0.821  0.783
S  0.892  0.072  0.610
S  0.890  0.283  0.462
S  0.179  0.072  0.962
S  0.610  0.572  0.892
S  0.428  0.038  0.321
S  0.283  0.392  0.821
S  0.217  0.538  0.610
S  0.928  0.108  0.890
S  0.679  0.217  0.608
S  0.462  0.783  0.890
S  0.038  0.428  0.821
S  0.392  0.283  0.321
S  0.038  0.610  0.717
S  0.679  0.462  0.572
S  0.283  0.890  0.962

Values from the calculation:
Total magnetic moment: 0.00 Bohr magnetons per cell
VASP energy: -5.48 eV/atom
N(E_F): 0.674 states/eV/atom
SG: No. 230

=====

Material: Ir5PdS8
Method: DFT, PBE-GGA
State: relaxed

abc: 7.035 7.035 7.035
angles: 60.00 60.00 60.00
Fractional positions:
Ir  0.000  0.000  0.000
Ir  0.624  0.624  0.129
Ir  0.624  0.624  0.624
Ir  0.129  0.624  0.624
Ir  0.624  0.129  0.624
Pd  0.250  0.250  0.250
S  0.387  0.839  0.387
S  0.839  0.387  0.387
S  0.387  0.387  0.387
S  0.387  0.387  0.839
S  0.866  0.866  0.403
S  0.403  0.866  0.866
S  0.866  0.866  0.866
S  0.866  0.403  0.866

Values from the calculation:
Total magnetic moment: 0.00 Bohr magnetons per cell
VASP energy: -6.17 eV/atom
N(E_F): 0.639 states/eV/atom
SG: No. 216

=====

Material: IrPdS4
Method: DFT, PBE-GGA
State: relaxed

abc: 7.033 7.143 7.076
angles: 120.31 119.80 90.00
Fractional positions:
Ir  0.500  0.000  0.500
Ir  0.000  0.000  0.500
Pd  0.500  0.500  0.000
Pd  0.500  0.000  0.000
S  0.742  0.768  0.483
S  0.284  0.763  0.025
S  0.742  0.763  0.025
S  0.742  0.215  0.483
S  0.258  0.785  0.517
S  0.716  0.237  0.975
S  0.258  0.237  0.975
S  0.258  0.232  0.517

Values from the calculation:
Total magnetic moment: 0.00 Bohr magnetons per cell
VASP energy: -5.28 eV/atom
N(E_F): 0.947 states/eV/atom
SG: No. 74

=====

Material: IrPd3S
Method: DFT, PBE-GGA
State: relaxed

abc: 4.423 4.423 4.423
angles: 90.00 90.00 90.00
Site moments in Bohr magnetons follow the coordinates.
Fractional positions:
S  0.000  0.000  0.000  0.01
Ir  0.500  0.500  0.500  1.35
Pd  0.000  0.500  0.000  0.07
Pd  0.000  0.000  0.500  0.06
Pd  0.500  0.000  0.000  0.16

Values from the calculation:
Energy above the most stable polymorph in this dataset: 0.000 eV/atom
Total magnetic moment: 1.69 Bohr magnetons per cell
VASP energy: -5.16 eV/atom
N(E_F): 1.297 states/eV/atom
SG: No. 221

=====

Material: IrPd3S
Method: DFT, PBE-GGA
State: relaxed

abc: 4.818 4.818 4.818
angles: 90.00 90.00 90.00
Site moments in Bohr magnetons follow the coordinates.
Fractional positions:
S  0.500  0.500  0.500  0.01
Ir  0.000  0.000  0.000  0.43
Pd  0.000  0.500  0.000  0.09
Pd  0.000  0.000  0.500  0.28
Pd  0.500  0.000  0.000  0.05

Values from the calculation:
Energy above the most stable polymorph in this dataset: 0.781 eV/atom
Total magnetic moment: 0.86 Bohr magnetons per cell
VASP energy: -4.38 eV/atom
N(E_F): 1.788 states/eV/atom
SG: No. 221

=====

Material: IrPdS2
Method: DFT, PBE-GGA
State: relaxed

abc: 5.254 5.254 6.720
angles: 66.99 66.99 90.00
Fractional positions:
S  0.646  0.125  0.250
S  0.104  0.625  0.250
S  0.375  0.354  0.750
S  0.875  0.896  0.750
Ir  0.000  0.000  0.000
Ir  0.750  0.250  0.500
Pd  0.500  0.500  0.000
Pd  0.250  0.750  0.500

Values from the calculation:
Total magnetic moment: 0.00 Bohr magnetons per cell
VASP energy: -5.64 eV/atom
N(E_F): 0.806 states/eV/atom
SG: No. 122

=====

Material: SbIrPdS2
Method: DFT, PBE-GGA
State: relaxed

abc: 4.522 5.280 4.522
angles: 90.00 90.00 90.00
Fractional positions:
Sb  0.000  0.500  0.000
S  0.000  0.000  0.500
S  0.500  0.000  0.000
Ir  0.500  0.500  0.500
Pd  0.000  0.000  0.000

Values from the calculation:
Total magnetic moment: 0.00 Bohr magnetons per cell
VASP energy: -4.21 eV/atom
N(E_F): 1.144 states/eV/atom
SG: No. 123